First-principles (GGA-PBE) data for SrCo2Cl after structural relaxation, as listed in the Alexandria database.

As for the calculated volume: 23.0 Å³/atom. The energy above the most stable polymorph in this dataset is 693 meV per atom.

Geometry as CIF:
```
data_SrCo2Cl
_space_group_name_H-M_alt 'C m m m'
_space_group_IT_number 65
_space_group_name_Hall '-C 2 2'
_cell_length_a 5.259
_cell_length_b 10.257
_cell_length_c 3.411
_cell_angle_alpha 90.00
_cell_angle_beta 90.00
_cell_angle_gamma 90.00
loop_
_atom_site_label
_atom_site_type_symbol
_atom_site_fract_x
_atom_site_fract_y
_atom_site_fract_z
Sr1 Sr 0.000 0.000 0.000
Co1 Co 0.250 0.250 0.500
Cl1 Cl 0.000 0.500 0.000
```

***

First-principles (GGA-PBE) data for ZnSb2PdI after structural relaxation, as listed in the Alexandria database.

As for the calculated volume: 31.0 Å³/atom. The energy above the most stable polymorph in this dataset is 0 meV per atom.

Geometry as CIF:
```
data_ZnSb2PdI
_space_group_name_H-M_alt 'P 4/m m m'
_space_group_IT_number 123
_space_group_name_Hall '-P 4 2'
_cell_length_a 5.244
_cell_length_b 5.244
_cell_length_c 5.640
_cell_angle_alpha 90.00
_cell_angle_beta 90.00
_cell_angle_gamma 90.00
loop_
_atom_site_label
_atom_site_type_symbol
_atom_site_fract_x
_atom_site_fract_y
_atom_site_fract_z
Zn1 Zn 0.000 0.000 0.000
Sb1 Sb 0.000 0.500 0.500
Pd1 Pd 0.500 0.500 0.500
I1 I 0.500 0.500 0.000
```

***

First-principles (GGA-PBE) data for RbSn2PdO after structural relaxation, as listed in the Alexandria database.

As for the calculated volume: 38.9 Å³/atom.

Geometry as CIF:
```
data_RbSn2PdO
_space_group_name_H-M_alt 'P 4/m m m'
_space_group_IT_number 123
_space_group_name_Hall '-P 4 2'
_cell_length_a 6.202
_cell_length_b 6.202
_cell_length_c 5.051
_cell_angle_alpha 90.00
_cell_angle_beta 90.00
_cell_angle_gamma 90.00
loop_
_atom_site_label
_atom_site_type_symbol
_atom_site_fract_x
_atom_site_fract_y
_atom_site_fract_z
Rb1 Rb 0.000 0.000 0.000
Sn1 Sn 0.000 0.500 0.000
Pd1 Pd 0.000 0.000 0.500
O1 O 0.500 0.500 0.500
```

***

Number 1: N(E_F) 1.4603 states/eV per atom, electronic total energy -15.717 eV/f.u., ΔE_f (raw) 0.51 eV per atom. Number 2: N(E_F) 1.0557 states/eV per atom, electronic total energy -14.124 eV/f.u., ΔE_f (raw) 0.43 eV per atom. Number 3: N(E_F) 0.9879 states/eV per atom, electronic total energy -10.423 eV/f.u., ΔE_f (raw) 1.74 eV per atom.